Entry 1:
Density functional theory data (PBE-GGA) for a geometry-optimized TaFeHg structure.

a = 4.533 Å, b = 4.533 Å, c = 2.817 Å
α = 90.00°, β = 90.00°, γ = 120.00°
Positions (direct):
Ta: 0.000 0.000 0.000
Fe: 0.333 0.667 0.295
Hg: 0.667 0.333 0.522

ΔH_f (0 K): 38 kJ/mol of atoms
Energy relative to the lowest polymorph listed for this composition: 129 meV per atom
Crystal system: trigonal

=====

Entry 2:
Density functional theory data (PBE-GGA) for a geometry-optimized Li2Tl3Cd2 structure.

a = 7.602 Å, b = 7.602 Å, c = 7.602 Å
α = 109.47°, β = 109.47°, γ = 109.47°
Positions (direct):
Li: 0.000 0.392 0.500
Li: 0.108 0.108 0.108
Li: 0.392 0.500 0.000
Li: 0.500 0.000 0.392
Tl: 0.182 0.750 0.932
Tl: 0.250 0.568 0.318
Tl: 0.318 0.250 0.568
Tl: 0.568 0.318 0.250
Tl: 0.750 0.932 0.182
Tl: 0.932 0.182 0.750
Cd: 0.000 0.783 0.500
Cd: 0.500 0.000 0.783
Cd: 0.717 0.717 0.717
Cd: 0.783 0.500 0.000

ΔH_f (0 K): -5 kJ/mol of atoms
Crystal system: cubic

=====

Entry 3:
Density functional theory data (PBE-GGA) for a geometry-optimized CeHo4Tm2 structure.

a = 11.381 Å, b = 11.381 Å, c = 5.571 Å
α = 90.00°, β = 90.00°, γ = 161.95°
Positions (direct):
Ce: 0.000 0.000 0.000
Ho: 0.191 0.809 0.500
Ho: 0.332 0.668 0.000
Ho: 0.668 0.332 0.000
Ho: 0.809 0.191 0.500
Tm: 0.431 0.569 0.500
Tm: 0.569 0.431 0.500

ΔH_f (0 K): 20 kJ/mol of atoms
Crystal system: orthorhombic

=====

Entry 4:
Density functional theory data (PBE-GGA) for a geometry-optimized Nd2Sm3Er5 structure.

a = 9.631 Å, b = 9.631 Å, c = 9.380 Å
α = 108.19°, β = 108.19°, γ = 112.98°
Positions (direct):
Nd: 0.019 0.267 0.048
Nd: 0.267 0.019 0.548
Nd: 0.733 0.981 0.452
Nd: 0.981 0.733 0.952
Sm: 0.222 0.466 0.452
Sm: 0.272 0.728 0.250
Sm: 0.466 0.222 0.952
Sm: 0.534 0.778 0.048
Sm: 0.728 0.272 0.750
Sm: 0.778 0.534 0.548
Er: 0.023 0.977 0.750
Er: 0.146 0.381 0.773
Er: 0.231 0.769 0.750
Er: 0.381 0.146 0.273
Er: 0.473 0.527 0.250
Er: 0.527 0.473 0.750
Er: 0.619 0.854 0.727
Er: 0.769 0.231 0.250
Er: 0.854 0.619 0.227
Er: 0.977 0.023 0.250

ΔH_f (0 K): 18 kJ/mol of atoms
Energy relative to the lowest polymorph listed for this composition: 0 meV per atom
Crystal system: monoclinic

=====

Entry 5:
Density functional theory data (PBE-GGA) for a geometry-optimized Th3InC3 structure.

a = 7.887 Å, b = 7.887 Å, c = 5.337 Å
α = 90.00°, β = 90.00°, γ = 120.00°
Positions (direct):
Th: 0.082 0.720 0.250
Th: 0.280 0.362 0.250
Th: 0.362 0.082 0.750
Th: 0.638 0.918 0.250
Th: 0.720 0.638 0.750
Th: 0.918 0.280 0.750
In: 0.333 0.667 0.750
In: 0.667 0.333 0.250
C: 0.058 0.710 0.750
C: 0.290 0.348 0.750
C: 0.348 0.058 0.250
C: 0.652 0.942 0.750
C: 0.710 0.652 0.250
C: 0.942 0.290 0.250

ΔH_f (0 K): -6 kJ/mol of atoms
Crystal system: hexagonal

=====

Entry 6:
Density functional theory data (PBE-GGA) for a geometry-optimized Li2CaAcPt2 structure.

a = 4.432 Å, b = 4.432 Å, c = 7.735 Å
α = 90.00°, β = 90.00°, γ = 120.00°
Positions (direct):
Li: 0.333 0.667 0.299
Li: 0.667 0.333 0.701
Ca: 0.000 0.000 0.500
Ac: 0.000 0.000 0.000
Pt: 0.333 0.667 0.744
Pt: 0.667 0.333 0.256

ΔH_f (0 K): -72 kJ/mol of atoms
Crystal system: trigonal

=====

Entry 7:
Density functional theory data (PBE-GGA) for a geometry-optimized Sr2LiMg12Al3 structure.

a = 11.804 Å, b = 11.804 Å, c = 11.804 Å
α = 35.56°, β = 35.56°, γ = 35.56°
Positions (direct):
Sr: 0.144 0.144 0.144
Sr: 0.856 0.856 0.856
Li: 0.500 0.500 0.500
Mg: 0.088 0.088 0.686
Mg: 0.088 0.686 0.088
Mg: 0.132 0.583 0.583
Mg: 0.314 0.912 0.912
Mg: 0.417 0.417 0.868
Mg: 0.417 0.868 0.417
Mg: 0.583 0.132 0.583
Mg: 0.583 0.583 0.132
Mg: 0.686 0.088 0.088
Mg: 0.868 0.417 0.417
Mg: 0.912 0.314 0.912
Mg: 0.912 0.912 0.314
Al: 0.000 0.500 0.500
Al: 0.500 0.000 0.500
Al: 0.500 0.500 0.000

ΔH_f (0 K): 17 kJ/mol of atoms
Crystal system: trigonal

=====

Entry 8:
Density functional theory data (PBE-GGA) for a geometry-optimized Pr3Zn2Hg2 structure.

a = 5.102 Å, b = 5.102 Å, c = 8.514 Å
α = 90.02°, β = 90.02°, γ = 59.93°
Positions (direct):
Pr: 0.000 0.000 0.000
Pr: 0.334 0.334 0.639
Pr: 0.666 0.666 0.361
Zn: 0.001 0.001 0.647
Zn: 0.999 0.999 0.353
Hg: 0.333 0.333 0.201
Hg: 0.667 0.667 0.799

ΔH_f (0 K): -30 kJ/mol of atoms
Crystal system: monoclinic

=====

Entry 9:
Density functional theory data (PBE-GGA) for a geometry-optimized LaAl2ZnFe structure.

a = 4.553 Å, b = 4.553 Å, c = 4.710 Å
α = 90.00°, β = 90.00°, γ = 90.00°
Positions (direct):
La: 0.000 0.000 0.000
Al: 0.000 0.500 0.500
Al: 0.500 0.000 0.500
Zn: 0.500 0.500 0.000
Fe: 0.500 0.500 0.500

ΔH_f (0 K): -31 kJ/mol of atoms
Energy relative to the lowest polymorph listed for this composition: 0 meV per atom
Crystal system: tetragonal

=====

Entry 10:
Density functional theory data (PBE-GGA) for a geometry-optimized Ho4HgTeSe2 structure.

a = 7.293 Å, b = 4.045 Å, c = 7.409 Å
α = 90.00°, β = 107.67°, γ = 90.00°
Positions (direct):
Ho: 0.233 0.000 0.232
Ho: 0.249 0.500 0.760
Ho: 0.751 0.500 0.240
Ho: 0.767 0.000 0.768
Hg: 0.000 0.000 0.500
Te: 0.500 0.500 0.500
Se: 0.000 0.500 0.000
Se: 0.500 0.000 0.000

Crystal system: monoclinic
Formation energy without anion corrections: -1.278 eV per atom

=====

Entry 11:
Density functional theory data (PBE-GGA) for a geometry-optimized La2NdGa6 structure.

a = 7.458 Å, b = 7.458 Å, c = 4.421 Å
α = 90.00°, β = 90.00°, γ = 120.00°
Positions (direct):
La: 0.333 0.667 0.000
La: 0.667 0.333 0.000
Nd: 0.000 0.000 0.000
Ga: 0.000 0.332 0.500
Ga: 0.000 0.668 0.500
Ga: 0.332 0.000 0.500
Ga: 0.332 0.332 0.500
Ga: 0.668 0.000 0.500
Ga: 0.668 0.668 0.500

ΔH_f (0 K): -67 kJ/mol of atoms
Energy relative to the lowest polymorph listed for this composition: 0 meV per atom
Crystal system: hexagonal

=====

Entry 12:
Density functional theory data (PBE-GGA) for a geometry-optimized La12Nd3Hg structure.

a = 5.179 Å, b = 5.179 Å, c = 20.922 Å
α = 90.00°, β = 90.00°, γ = 90.00°
Positions (direct):
La: 0.000 0.000 0.000
La: 0.000 0.000 0.246
La: 0.000 0.000 0.500
La: 0.000 0.000 0.754
La: 0.000 0.500 0.120
La: 0.000 0.500 0.373
La: 0.000 0.500 0.627
La: 0.000 0.500 0.880
La: 0.500 0.000 0.120
La: 0.500 0.000 0.373
La: 0.500 0.000 0.627
La: 0.500 0.000 0.880
Nd: 0.500 0.500 0.246
Nd: 0.500 0.500 0.500
Nd: 0.500 0.500 0.754
Hg: 0.500 0.500 0.000

ΔH_f (0 K): -4 kJ/mol of atoms
Crystal system: tetragonal

=====

Entry 13:
Density functional theory data (PBE-GGA) for a geometry-optimized Tm2Al2VRu5 structure.

a = 10.003 Å, b = 10.003 Å, c = 3.232 Å
α = 90.00°, β = 90.00°, γ = 90.00°
Positions (direct):
Tm: 0.170 0.330 0.000
Tm: 0.330 0.830 0.000
Tm: 0.670 0.170 0.000
Tm: 0.830 0.670 0.000
Al: 0.129 0.629 0.000
Al: 0.371 0.129 0.000
Al: 0.629 0.871 0.000
Al: 0.871 0.371 0.000
V: 0.000 0.000 0.000
V: 0.500 0.500 0.000
Ru: 0.000 0.500 0.500
Ru: 0.064 0.807 0.500
Ru: 0.193 0.064 0.500
Ru: 0.307 0.564 0.500
Ru: 0.436 0.307 0.500
Ru: 0.500 0.000 0.500
Ru: 0.564 0.693 0.500
Ru: 0.693 0.436 0.500
Ru: 0.807 0.936 0.500
Ru: 0.936 0.193 0.500

ΔH_f (0 K): -41 kJ/mol of atoms
Crystal system: tetragonal

=====

Entry 14:
Density functional theory data (PBE-GGA) for a geometry-optimized TbErTm4 structure.

a = 6.478 Å, b = 6.478 Å, c = 6.478 Å
α = 60.00°, β = 60.00°, γ = 60.00°
Positions (direct):
Tb: 0.000 0.000 0.000
Er: 0.750 0.750 0.750
Tm: 0.375 0.375 0.375
Tm: 0.375 0.375 0.875
Tm: 0.375 0.875 0.375
Tm: 0.875 0.375 0.375

ΔH_f (0 K): 26 kJ/mol of atoms
Energy relative to the lowest polymorph listed for this composition: 193 meV per atom
Crystal system: cubic

=====

Entry 15:
Density functional theory data (PBE-GGA) for a geometry-optimized Er7Pd2Rh2 structure.

a = 6.545 Å, b = 6.545 Å, c = 6.889 Å
α = 90.00°, β = 90.00°, γ = 106.18°
Positions (direct):
Er: 0.000 0.000 0.000
Er: 0.000 0.500 0.262
Er: 0.000 0.500 0.738
Er: 0.500 0.000 0.262
Er: 0.500 0.000 0.738
Er: 0.500 0.500 0.257
Er: 0.500 0.500 0.743
Pd: 0.196 0.196 0.500
Pd: 0.804 0.804 0.500
Rh: 0.286 0.714 0.000
Rh: 0.714 0.286 0.000

ΔH_f (0 K): -51 kJ/mol of atoms
Energy relative to the lowest polymorph listed for this composition: 175 meV per atom
Crystal system: orthorhombic

=====

Entry 16:
Density functional theory data (PBE-GGA) for a geometry-optimized ThCo12Si6 structure.

a = 6.512 Å, b = 6.512 Å, c = 6.512 Å
α = 105.61°, β = 105.61°, γ = 105.61°
Positions (direct):
Th: 0.000 0.000 0.000
Co: 0.130 0.500 0.870
Co: 0.130 0.870 0.500
Co: 0.180 0.434 0.434
Co: 0.434 0.180 0.434
Co: 0.434 0.434 0.180
Co: 0.500 0.130 0.870
Co: 0.500 0.870 0.130
Co: 0.566 0.566 0.820
Co: 0.566 0.820 0.566
Co: 0.820 0.566 0.566
Co: 0.870 0.130 0.500
Co: 0.870 0.500 0.130
Si: 0.245 0.245 0.690
Si: 0.245 0.690 0.245
Si: 0.310 0.755 0.755
Si: 0.690 0.245 0.245
Si: 0.755 0.310 0.755
Si: 0.755 0.755 0.310

Crystal system: trigonal
Formation energy without anion corrections: -0.399 eV per atom

=====

Entry 17:
Density functional theory data (PBE-GGA) for a geometry-optimized CeNdSi2 structure.

a = 3.928 Å, b = 5.888 Å, c = 8.199 Å
α = 90.00°, β = 90.00°, γ = 90.00°
Positions (direct):
Ce: 0.000 0.136 0.000
Ce: 0.000 0.864 0.500
Nd: 0.500 0.365 0.640
Nd: 0.500 0.635 0.140
Si: 0.000 0.367 0.354
Si: 0.000 0.633 0.854
Si: 0.500 0.125 0.284
Si: 0.500 0.875 0.784

Energy relative to the lowest polymorph listed for this composition: 0 meV per atom
Crystal system: orthorhombic
Formation energy without anion corrections: -0.698 eV per atom

=====

Entry 18:
Density functional theory data (PBE-GGA) for a geometry-optimized InTcHg2 structure.

a = 3.031 Å, b = 3.031 Å, c = 9.406 Å
α = 90.00°, β = 90.00°, γ = 90.00°
Positions (direct):
In: 0.000 0.000 0.000
Tc: 0.000 0.000 0.500
Hg: 0.500 0.500 0.289
Hg: 0.500 0.500 0.711

ΔH_f (0 K): 49 kJ/mol of atoms
Crystal system: tetragonal

=====

| no. | M_tot (μB per formula unit) |
| --- | --- |
| 1 | 1.4 |
| 2 | 0.0 |
| 3 | 1.0 |
| 4 | 0.0 |
| 5 | 0.0 |
| 6 | 0.0 |
| 7 | 0.0 |
| 8 | 0.0 |
| 9 | 0.0 |
| 10 | 0.0 |
| 11 | 0.0 |
| 12 | 0.0 |
| 13 | 0.0 |
| 14 | 1.0 |
| 15 | 0.0 |
| 16 | 3.4 |
| 17 | 0.8 |
| 18 | 1.7 |